No. 1
# LiTlRe

A relaxed structure of LiTlRe (PBEsol, Alexandria).

```
LiTlRe
1.0
0.000 3.171 3.171
3.171 0.000 3.171
3.171 3.171 0.000
Li Tl Re
1 1 1
Direct
0.000 0.000 0.000 Li
0.500 0.500 0.500 Tl
0.250 0.250 0.250 Re
```

Computed properties:
Space group = No. 216
Crystal system = cubic
Energy above the most stable polymorph in this dataset = 0.785 eV/atom

***

No. 2
# Sc2CdRu2

A relaxed structure of Sc2CdRu2 (PBEsol, Alexandria).

```
Sc2CdRu2
1.0
-2.459 2.459 3.983
2.459 -2.459 3.983
2.459 2.459 -3.983
Sc Cd Ru
2 1 2
Direct
0.250 0.750 0.500 Sc
0.750 0.250 0.500 Sc
0.000 0.000 0.000 Cd
0.346 0.346 0.000 Ru
0.654 0.654 0.000 Ru
```

Computed properties:
Space group = No. 139
Crystal system = tetragonal

***

Calculated energy relative to the elements in order - 1.3697, 0.1281 eV/atom
Calculated total DFT energy (no corrections) in order - -13.82, -34.11 eV/cell
Calculated total moment in order - 2.366, 0.000 μB per cell